This record from Alexandria via LeMat-Bulk describes a relaxed Cr2GeC crystal. The functional is PBEsol.

Properties
ΔH_f (0 K) = -0.162 eV per atom

Unit cell a=2.8965 b=2.8965 c=11.8960 alpha=90.00 beta=90.00 gamma=120.00
Closest atoms and distances in Å follow each position.
Space group P6_3/mmc (No. 194)
One atom of each set of equivalent atoms:
Cr (0.3333, 0.6667, 0.0858) [4 per cell]  3 C 1.96
Ge (0.3333, 0.6667, 0.7500) [2 per cell]  6 Cr 2.57
C (0.0000, 0.0000, 0.0000) [2 per cell]  6 Cr 1.96

This record from Alexandria via LeMat-Bulk describes a relaxed La2CrGeC crystal. The functional is PBEsol.

Properties
ΔH_f (0 K) = 0.306 eV per atom

Unit cell a=5.2140 b=5.2140 c=4.0228 alpha=90.00 beta=90.00 gamma=90.00
Closest atoms and distances in Å follow each position.
Space group P4/mmm (No. 123)
One atom of each set of equivalent atoms:
La (0.0000, 0.5000, 0.0000) [2 per cell]  2 C 2.61
Cr (0.0000, 0.0000, 0.5000) [1 per cell]  8 La 3.29, 4 Ge 3.69
Ge (0.5000, 0.5000, 0.5000) [1 per cell]  2 C 2.01
C (0.5000, 0.5000, 0.0000) [1 per cell]  2 Ge 2.01

This record from Alexandria via LeMat-Bulk describes a relaxed MgCr2GeC crystal. The functional is PBEsol.

Properties
ΔH_f (0 K) = 1.908 eV per atom

Unit cell a=4.5880 b=4.5880 c=4.8032 alpha=90.00 beta=90.00 gamma=90.00
Closest atoms and distances in Å follow each position.
Space group P4/mmm (No. 123)
One atom of each set of equivalent atoms:
Mg (0.0000, 0.0000, 0.0000) [1 per cell]  2 Ge 2.40
Cr (0.0000, 0.5000, 0.5000) [2 per cell]  2 Ge 2.29
Ge (0.0000, 0.0000, 0.5000) [1 per cell]  4 Cr 2.29, 2 Mg 2.40
C (0.5000, 0.5000, 0.0000) [1 per cell]  4 Mg 3.24, 8 Cr 3.32

- The lowest ΔH_f (0 K) belongs to which entry?
  Cr2GeC